First-principles (GGA-PBE) data for an optimized crystal structure of RbNa2Br2Cl, as listed in Alexandria.

Summary:
Energy in eV/atom: -3.075
Calculated density in g/cm³: 2.4

Cell: 5.3771 7.2408 11.5468 Å, 90.00 90.61 90.00°
Space group P2_1/m (No. 11)
Symmetry-distinct sites (fractional):
Rb 0.2350 0.2500 0.0007 [2 per cell]
Na 0.4936 0.0000 0.6566 [4 per cell]
Br 0.2634 0.7500 0.8165 [2 per cell]
Br 0.2724 0.7500 0.1818 [2 per cell]
Cl 0.3349 0.2500 0.4978 [2 per cell]

***

First-principles (GGA-PBE) data for an optimized crystal structure of NaReBrCl2, as listed in Alexandria.

Summary:
Energy in eV/atom: -3.283
Calculated density in g/cm³: 4.5

Cell: 4.9460 4.9460 5.3953 Å, 90.00 90.00 90.00°
Space group P4/mmm (No. 123)
Symmetry-distinct sites (fractional):
Na 0.0000 0.0000 0.0000 [1 per cell]
Re 0.5000 0.5000 0.5000 [1 per cell]
Br 0.0000 0.0000 0.5000 [1 per cell]
Cl 0.0000 0.5000 0.0000 [2 per cell]

***

First-principles (GGA-PBE) data for an optimized crystal structure of Na2ReBrCl, as listed in Alexandria.

Summary:
Energy in eV/atom: -3.200
Calculated density in g/cm³: 3.3

Cell: 5.0515 5.0515 6.7553 Å, 90.00 90.00 90.00°
Space group P4/mmm (No. 123)
Symmetry-distinct sites (fractional):
Na 0.0000 0.5000 0.0000 [2 per cell]
Re 0.0000 0.0000 0.5000 [1 per cell]
Br 0.5000 0.5000 0.5000 [1 per cell]
Cl 0.5000 0.5000 0.0000 [1 per cell]

***

First-principles (GGA-PBE) data for an optimized crystal structure of Na5SBr2Cl, as listed in Alexandria.

Summary:
Energy in eV/atom: -3.078
Calculated density in g/cm³: 2.1

Cell: 5.0445 7.2148 14.6367 Å, 90.00 90.00 90.00°
Space group Immm (No. 71)
Symmetry-distinct sites (fractional):
Na 0.0000 0.0000 0.0000 [2 per cell]
Na 0.0000 0.2492 0.3690 [8 per cell]
S 0.0000 0.5000 0.5000 [2 per cell]
Br 0.0000 0.0000 0.2189 [4 per cell]
Cl 0.0000 0.5000 0.0000 [2 per cell]

***

First-principles (GGA-PBE) data for an optimized crystal structure of Na6SBr2Cl2, as listed in Alexandria.

Summary:
Energy in eV/atom: -3.194
Calculated density in g/cm³: 2.1

Cell: 7.4027 12.2691 7.3670 Å, 90.00 112.24 90.00°
Space group C2/m (No. 12)
Symmetry-distinct sites (fractional):
Na 0.2164 0.1706 0.2092 [8 per cell]
Na 0.2197 0.0000 0.7871 [4 per cell]
S 0.0000 0.0000 0.0000 [2 per cell]
Br 0.0000 0.1788 0.5000 [4 per cell]
Cl 0.0000 0.3444 0.0000 [4 per cell]

***

First-principles (GGA-PBE) data for an optimized crystal structure of NaSBrCl2, as listed in Alexandria.

Summary:
Energy in eV/atom: -1.927
Calculated density in g/cm³: 2.2

Cell: 5.2021 5.2021 5.7206 Å, 90.00 90.00 90.00°
Space group P4/mmm (No. 123)
Symmetry-distinct sites (fractional):
Na 0.0000 0.0000 0.0000 [1 per cell]
S 0.0000 0.0000 0.5000 [1 per cell]
Br 0.5000 0.5000 0.5000 [1 per cell]
Cl 0.0000 0.5000 0.0000 [2 per cell]

***

Please write out number 2 again, unchanged.
First-principles (GGA-PBE) data for an optimized crystal structure of NaReBrCl2, as listed in Alexandria.

Summary:
Energy in eV/atom: -3.283
Calculated density in g/cm³: 4.5

Cell: 4.9460 4.9460 5.3953 Å, 90.00 90.00 90.00°
Space group P4/mmm (No. 123)
Symmetry-distinct sites (fractional):
Na 0.0000 0.0000 0.0000 [1 per cell]
Re 0.5000 0.5000 0.5000 [1 per cell]
Br 0.0000 0.0000 0.5000 [1 per cell]
Cl 0.0000 0.5000 0.0000 [2 per cell]

***

- Which value of energy does entry 1 give?
  -3.075 eV/atom